[1]
The following is a PBE-GGA calculation of a geometry-optimized Lu2Cd3Mo4N3 structure, from OQMD via LeMat-Bulk.

Cell: 5.660 5.660 14.041 Å, 101.48 101.48 60.23°
Sites, in units of the cell vectors:
Lu 0.034 0.871 0.606
Lu 0.129 0.966 0.894
Lu 0.871 0.034 0.106
Lu 0.966 0.129 0.394
Cd 0.082 0.378 0.748
Cd 0.378 0.082 0.248
Cd 0.456 0.544 0.250
Cd 0.544 0.456 0.750
Cd 0.622 0.918 0.752
Cd 0.918 0.622 0.252
Mo 0.194 0.366 0.066
Mo 0.323 0.461 0.434
Mo 0.366 0.194 0.566
Mo 0.461 0.323 0.934
Mo 0.539 0.677 0.066
Mo 0.634 0.806 0.434
Mo 0.677 0.539 0.566
Mo 0.806 0.634 0.934
N 0.000 0.500 0.500
N 0.154 0.692 0.000
N 0.308 0.846 0.500
N 0.500 0.000 0.000
N 0.692 0.154 0.500
N 0.846 0.308 0.000

Properties
Space group   C2/c
Energy   -171.1 eV for the cell shown

***

[2]
The following is a PBE-GGA calculation of a geometry-optimized Pa2Re2O5 structure, from OQMD via LeMat-Bulk.

Cell: 3.993 3.993 7.022 Å, 90.00 90.00 90.00°
Sites, in units of the cell vectors:
Pa 0.000 0.000 0.000
Pa 0.000 0.000 0.500
Re 0.500 0.500 0.190
Re 0.500 0.500 0.810
O 0.000 0.500 0.256
O 0.000 0.500 0.744
O 0.500 0.000 0.256
O 0.500 0.000 0.744
O 0.500 0.500 0.500

Properties
Space group   P4/mmm
Energy above the lowest structure with this stoichiometry   0.0000 eV/atom
Energy   -80.0 eV for the cell shown